No. 1
DFT (SCAN) results for a crystal of Y2O3 relaxed with PBEsol.

For the raw formation energy, the calculation gives -3887 meV/atom.

Unit cell a=3.6352 b=3.6352 c=5.7859 alpha=90.00 beta=90.00 gamma=120.00
Space group P-3m1 (No. 164)
One atom of each set of equivalent atoms:
Y 0.3333 0.6667 0.2488 x2
O 0.0000 0.0000 0.0000 x1
O 0.3333 0.6667 0.6464 x2

***

No. 2
DFT (SCAN) results for a crystal of ZrTi3Tl relaxed with PBEsol.

Unit cell a=4.969 b=4.969 c=4.969 alpha=90.00 beta=90.00 gamma=90.00
Space group Pm-3m (No. 221)
One atom of each set of equivalent atoms:
Zr 0.000 0.000 0.000 x1
Ti 0.000 0.500 0.500 x3
Tl 0.500 0.500 0.500 x1

***

No. 3
DFT (SCAN) results for a crystal of CaSi2Ru relaxed with PBEsol.

For the raw formation energy, the calculation gives -272 meV/atom.

Unit cell a=3.003 b=3.781 c=6.332 alpha=90.00 beta=103.45 gamma=90.00
Space group Pm (No. 6)
One atom of each set of equivalent atoms:
Ca 0.000 0.000 0.000 x1
Si 0.245 0.000 0.477 x1
Si 0.365 0.500 0.724 x1
Ru 0.709 0.500 0.405 x1

***

No. 4
DFT (SCAN) results for a crystal of Be3SnBi relaxed with PBEsol.

Unit cell a=4.768 b=4.768 c=4.768 alpha=90.00 beta=90.00 gamma=90.00
Space group Pm-3m (No. 221)
One atom of each set of equivalent atoms:
Be 0.000 0.000 0.500 x3
Sn 0.500 0.500 0.500 x1
Bi 0.000 0.000 0.000 x1

***

Number 1: density of states at the Fermi level 0.00 states/eV/f.u., mass density 5.7 Mg/m³, E_tot -93.8 eV for the cell shown. Number 2: density of states at the Fermi level 5.53 states/eV/f.u., mass density 5.9 Mg/m³, E_tot -145.8 eV for the cell shown. Number 3: density of states at the Fermi level 2.40 states/eV/f.u., mass density 4.7 Mg/m³, E_tot -65.6 eV for the cell shown. Number 4: density of states at the Fermi level 3.20 states/eV/f.u., mass density 5.4 Mg/m³, E_tot -120.8 eV for the cell shown.